A plane-wave DFT calculation with PBE was carried out for KTl2Br after structural relaxation.

Cell lengths 10.936, 10.936, 10.936 Å; angles 21.98, 21.98, 21.98 degrees
Fractional positions:
Br1 0.250 0.250 0.250
Tl1 0.985 0.985 0.985
Tl2 0.515 0.515 0.515
K1 0.750 0.750 0.750

Results
Spin magnetization (μB/atom): 0.000
Raw total energy (hartree per atom): -0.079
Energy relative to the lowest polymorph listed for this composition (meV/atom): 351.1
N(E_F) (states/eV/atom): 0.56
Raw formation energy (meV/atom): -264
Symmetry: R-3m (166)


A plane-wave DFT calculation with PBE was carried out for Sn3SbTe2 after structural relaxation.

Cell lengths 6.229, 8.949, 7.778 Å; angles 106.57, 113.60, 90.00 degrees
Fractional positions:
Sn1 0.158 0.578 0.315
Sn2 0.158 0.078 0.315
Sn3 0.842 0.922 0.685
Sn4 0.499 0.750 0.000
Sn5 0.501 0.250 0.000
Sn6 0.842 0.422 0.685
Te1 0.333 0.917 0.667
Te2 0.667 0.083 0.333
Te3 0.667 0.583 0.333
Te4 0.333 0.417 0.667
Sb1 0.999 0.750 0.000
Sb2 0.001 0.250 0.000

Results
Spin magnetization (μB/atom): 0.000
Raw total energy (hartree per atom): -0.144
N(E_F) (states/eV/atom): 0.44
Raw formation energy (meV/atom): -171
Symmetry: C2/c (15)


A plane-wave DFT calculation with PBE was carried out for Sr2As3Pd4Rh after structural relaxation.

Cell lengths 4.313, 4.313, 10.742 Å; angles 90.00, 90.00, 90.00 degrees
Fractional positions:
Pd1 0.000 0.500 0.357
Pd2 0.500 0.500 0.000
Pd3 0.500 0.000 0.643
Pd4 0.000 0.000 0.000
As1 0.000 0.000 0.500
As2 0.000 0.500 0.129
As3 0.500 0.000 0.871
Sr1 0.500 0.000 0.255
Sr2 0.000 0.500 0.745
Rh1 0.500 0.500 0.500

Results
Spin magnetization (μB/atom): 0.000
Raw total energy (hartree per atom): -0.190
N(E_F) (states/eV/atom): 0.90
Symmetry: P-4m2 (115)


A plane-wave DFT calculation with PBE was carried out for KInFe2 after structural relaxation.

Cell lengths 4.875, 4.875, 4.875 Å; angles 119.80, 119.80, 90.34 degrees
Site moments in Bohr magnetons follow the coordinates.
Fractional positions:
Fe1 0.000 0.000 0.000  2.94
Fe2 0.250 0.750 0.500  2.84
K1 0.750 0.250 0.500  -0.02
In1 0.500 0.500 0.000  -0.12

Results
Spin magnetization (μB/atom): 1.365
Raw total energy (hartree per atom): -0.154
N(E_F) (states/eV/atom): 0.69
Symmetry: I-4m2 (119)